# 1
Compound: Rb2NaPdBr6
Source: Alexandria via LeMat-Bulk
Functional: PBE-GGA
Structure: relaxed

Lattice parameters (Å, degrees): 7.748 7.748 10.944 90.00 90.00 90.00
Space group I4/mmm (No. 139)
Unique sites:
Rb 0.000 0.500 0.250 [4 per cell]
Na 0.000 0.000 0.000 [2 per cell]
Pd 0.000 0.000 0.500 [2 per cell]
Br 0.000 0.000 0.265 [4 per cell]
Br 0.235 0.235 0.500 [8 per cell]

Properties
Formation energy without anion corrections: -10.82 eV/f.u.
Excess energy over the best structure of this formula in the dataset: 11 meV per atom
Fermi-level density of states: 4.30 states/eV/f.u.
Uncorrected energy: -2.9306 eV/atom

=====

# 2
Compound: Rb3NaPd2Br9
Source: Alexandria via LeMat-Bulk
Functional: PBE-GGA
Structure: relaxed

Lattice parameters (Å, degrees): 7.6164 7.6164 9.4425 90.00 90.00 120.00
Space group P-3m1 (No. 164)
Unique sites:
Rb 0.0000 0.0000 0.0000 [1 per cell]
Rb 0.3333 0.6667 0.6635 [2 per cell]
Na 0.0000 0.0000 0.5000 [1 per cell]
Pd 0.3333 0.6667 0.1564 [2 per cell]
Br 0.0000 0.5000 0.0000 [3 per cell]
Br 0.1725 0.3449 0.3119 [6 per cell]

Properties
Formation energy without anion corrections: -15.15 eV/f.u.
Fermi-level density of states: 7.82 states/eV/f.u.
Uncorrected energy: -2.9874 eV/atom